## Mg3Cd2Sn (PBE-GGA)

Data for a geometry-optimized Mg3Cd2Sn structure.

Lattice parameters (Å, degrees): 3.3220 3.3220 12.2303 90.00 90.00 90.00
Fractional coordinates of all 6 atoms:
1 Mg 0.0000 0.0000 0.3232
2 Sn 0.5000 0.5000 0.5000
3 Cd 0.5000 0.5000 0.1626
4 Mg 0.0000 0.0000 0.6768
5 Cd 0.5000 0.5000 0.8374
6 Mg 0.0000 0.0000 0.0000

## Properties
Electronic total energy   -0.0693 hartree per atom
Space-group type   No. 123
E_form   -0.117 eV/atom
Energy relative to the lowest polymorph listed for this composition   0.000 eV per atom
Total magnetic moment   0.00 μB per formula unit